DFT (GGA-PBE) results for an optimized crystal structure of ThZnCdAu.

spin magnetization	0.000	μB per atom
energy of formation from the pure elements	-0.411	eV per atom

Lattice parameters (Å, degrees): 7.0836 7.0836 7.0836 90.00 90.00 90.00
With the nearest neighbours (Å) after each atom.
Space group F-43m (No. 216)
Symmetry-distinct sites (fractional):
Th (0.0000, 0.0000, 0.0000) [4 per cell]  4 Au 3.07, 4 Zn 3.07
Zn (0.2500, 0.2500, 0.7500) [4 per cell]  4 Cd 3.07, 4 Th 3.07
Cd (0.0000, 0.0000, 0.5000) [4 per cell]  4 Zn 3.07, 4 Au 3.07
Au (0.2500, 0.2500, 0.2500) [4 per cell]  4 Cd 3.07, 4 Th 3.07

DFT (GGA-PBE) results for an optimized crystal structure of Th2Zn3CdAu4.

spin magnetization	0.000	μB per atom
energy of formation from the pure elements	-0.415	eV per atom

Lattice parameters (Å, degrees): 4.2704 4.2704 11.6300 90.00 90.00 90.00
With the nearest neighbours (Å) after each atom.
Space group P-4m2 (No. 115)
Symmetry-distinct sites (fractional):
Th (0.0000, 0.5000, 0.2341) [2 per cell]  4 Zn 3.26, 8 Au 3.29-3.46
Zn (0.0000, 0.5000, 0.8714) [2 per cell]  5 Au 2.52-2.61
Zn (0.5000, 0.5000, 0.5000) [1 per cell]  4 Au 2.79, 4 Cd 3.02
Cd (0.0000, 0.0000, 0.5000) [1 per cell]  4 Au 2.79, 4 Zn 3.02
Au (0.0000, 0.0000, 0.0000) [1 per cell]  4 Zn 2.61
Au (0.0000, 0.5000, 0.6544) [2 per cell]  3 Zn 2.52-2.79, 2 Cd 2.79
Au (0.5000, 0.5000, 0.0000) [1 per cell]  4 Zn 2.61

DFT (GGA-PBE) results for an optimized crystal structure of ThZrCdAu.

spin magnetization	0.000	μB per atom
energy of formation from the pure elements	-0.168	eV per atom

Lattice parameters (Å, degrees): 7.2993 7.2993 7.2993 90.00 90.00 90.00
With the nearest neighbours (Å) after each atom.
Space group F-43m (No. 216)
Symmetry-distinct sites (fractional):
Th (0.0000, 0.0000, 0.0000) [4 per cell]  4 Cd 3.16, 4 Au 3.16
Zr (0.0000, 0.0000, 0.5000) [4 per cell]  4 Au 3.16, 4 Cd 3.16
Cd (0.2500, 0.2500, 0.7500) [4 per cell]  4 Zr 3.16, 4 Th 3.16
Au (0.2500, 0.2500, 0.2500) [4 per cell]  4 Th 3.16, 4 Zr 3.16

DFT (GGA-PBE) results for an optimized crystal structure of TiCdAu2.

spin magnetization	0.000	μB per atom
energy of formation from the pure elements	-0.167	eV per atom

Lattice parameters (Å, degrees): 5.3143 3.0567 9.3712 90.00 100.99 90.00
With the nearest neighbours (Å) after each atom.
Space group Cm (No. 8)
Symmetry-distinct sites (fractional):
Ti (0.0000, 0.0000, 0.0000) [2 per cell]  6 Au 2.77-2.78, 6 Ti 3.06-3.07
Cd (0.3332, 0.5000, 0.4987) [2 per cell]  6 Au 3.02-3.04, 6 Cd 3.06-3.07
Au (0.0894, 0.5000, 0.7664) [2 per cell]  3 Ti 2.78, 3 Cd 3.03-3.04, 6 Au 3.06-3.07
Au (0.4103, 0.0000, 0.2325) [2 per cell]  3 Ti 2.77-2.78, 3 Cd 3.02, 6 Au 3.06-3.07

DFT (GGA-PBE) results for an optimized crystal structure of TiCd3Au.

spin magnetization	0.520	μB per atom
offset from the most stable computed form	338	meV per atom
energy of formation from the pure elements	0.916	eV per atom

Lattice parameters (Å, degrees): 5.3957 5.3957 5.3957 90.00 90.00 90.00
With the nearest neighbours (Å) after each atom.
Space group Pm-3m (No. 221)
Symmetry-distinct sites (fractional):
Ti (0.0000, 0.0000, 0.0000) [1 per cell]  6 Cd 2.70
Cd (0.0000, 0.0000, 0.5000) [3 per cell]  2 Ti 2.70
Au (0.5000, 0.5000, 0.5000) [1 per cell]  12 Cd 3.82

DFT (GGA-PBE) results for an optimized crystal structure of Ti3CdAu.

spin magnetization	0.000	μB per atom
offset from the most stable computed form	0	meV per atom
energy of formation from the pure elements	0.664	eV per atom

Lattice parameters (Å, degrees): 4.9031 4.9031 4.9031 90.00 90.00 90.00
With the nearest neighbours (Å) after each atom.
Space group Pm-3m (No. 221)
Symmetry-distinct sites (fractional):
Ti (0.0000, 0.0000, 0.5000) [3 per cell]  2 Au 2.45
Cd (0.5000, 0.5000, 0.5000) [1 per cell]  12 Ti 3.47
Au (0.0000, 0.0000, 0.0000) [1 per cell]  6 Ti 2.45

DFT (GGA-PBE) results for an optimized crystal structure of TiCdAu2.

spin magnetization	0.000	μB per atom
energy of formation from the pure elements	0.160	eV per atom

Lattice parameters (Å, degrees): 2.7683 5.1577 11.3169 90.00 90.00 90.00
With the nearest neighbours (Å) after each atom.
Space group Immm (No. 71)
Symmetry-distinct sites (fractional):
Ti (0.0000, 0.0000, 0.0000) [2 per cell]  2 Au 2.60, 2 Ti 2.77
Cd (0.0000, 0.0000, 0.5000) [2 per cell]  2 Cd 2.77, 4 Ti 2.93, 2 Au 3.06
Au (0.0000, 0.0000, 0.2299) [4 per cell]  1 Ti 2.60, 2 Au 2.77

DFT (GGA-PBE) results for an optimized crystal structure of Ti2CdAu2.

spin magnetization	0.000	μB per atom
energy of formation from the pure elements	-0.042	eV per atom

Lattice parameters (Å, degrees): 3.8947 3.8947 13.0120 90.00 90.00 90.00
With the nearest neighbours (Å) after each atom.
Space group I4/mmm (No. 139)
Symmetry-distinct sites (fractional):
Ti (0.0000, 0.5000, 0.2500) [4 per cell]  4 Au 2.72, 4 Ti 2.75
Cd (0.0000, 0.0000, 0.0000) [2 per cell]  8 Au 3.07
Au (0.0000, 0.0000, 0.3959) [4 per cell]  1 Au 2.71, 4 Ti 2.72

DFT (GGA-PBE) results for an optimized crystal structure of Ti3CdAu.

spin magnetization	1.021	μB per atom
offset from the most stable computed form	544	meV per atom
energy of formation from the pure elements	1.208	eV per atom

Lattice parameters (Å, degrees): 4.9697 4.9697 4.9697 90.00 90.00 90.00
With the nearest neighbours (Å) after each atom.
Space group Pm-3m (No. 221)
Symmetry-distinct sites (fractional):
Ti (0.0000, 0.0000, 0.5000) [3 per cell]  2 Cd 2.48
Cd (0.0000, 0.0000, 0.0000) [1 per cell]  6 Ti 2.48
Au (0.5000, 0.5000, 0.5000) [1 per cell]  12 Ti 3.51

DFT (GGA-PBE) results for an optimized crystal structure of TiCdAu6.

spin magnetization	0.000	μB per atom
energy of formation from the pure elements	-0.214	eV per atom

Lattice parameters (Å, degrees): 9.2280 4.1461 8.4159 90.00 116.68 90.00
With the nearest neighbours (Å) after each atom.
Space group C2/m (No. 12)
Symmetry-distinct sites (fractional):
Ti (0.0000, 0.0000, 0.0000) [2 per cell]  12 Au 2.90-2.91
Cd (0.0000, 0.0000, 0.5000) [2 per cell]  12 Au 2.94-3.02
Au (0.0043, 0.5000, 0.2428) [4 per cell]  8 Au 2.87-3.05, 2 Ti 2.90, 2 Cd 3.01
Au (0.2474, 0.0000, 0.3660) [4 per cell]  8 Au 2.88-3.05, 1 Ti 2.90, 3 Cd 2.94-2.97
Au (0.2469, 0.5000, 0.1164) [4 per cell]  8 Au 2.87-2.97, 3 Ti 2.91, 1 Cd 3.02

DFT (GGA-PBE) results for an optimized crystal structure of TiCdAu2.

spin magnetization	0.163	μB per atom
energy of formation from the pure elements	-0.185	eV per atom

Lattice parameters (Å, degrees): 4.9257 4.9257 3.0332 90.00 90.00 90.00
With the nearest neighbours (Å) after each atom.
Space group P4/mmm (No. 123)
Symmetry-distinct sites (fractional):
Ti (0.0000, 0.0000, 0.0000) [1 per cell]  8 Au 2.89, 2 Ti 3.03
Cd (0.5000, 0.5000, 0.0000) [1 per cell]  8 Au 2.89, 2 Cd 3.03
Au (0.0000, 0.5000, 0.5000) [2 per cell]  4 Cd 2.89, 4 Ti 2.89, 2 Au 3.03

DFT (GGA-PBE) results for an optimized crystal structure of TiCdAu.

spin magnetization	0.000	μB per atom
energy of formation from the pure elements	-0.284	eV per atom

Lattice parameters (Å, degrees): 3.2564 3.2564 10.5623 90.00 90.00 90.00
With the nearest neighbours (Å) after each atom.
Space group P4/nmm (No. 129, origin choice 2)
Symmetry-distinct sites (fractional):
Ti (0.2500, 0.2500, 0.0784) [2 per cell]  4 Au 2.76, 4 Ti 2.84
Cd (0.2500, 0.2500, 0.4017) [2 per cell]  4 Au 2.98, 8 Cd 3.10-3.26
Au (0.2500, 0.2500, 0.7769) [2 per cell]  4 Ti 2.76, 4 Cd 2.98